Nd23Cd4Pt7 | PBE | optimized geometry

Cell and atoms, written as POSCAR:
```
Nd23Cd4Pt7
1.0
10.071 0.000 0.000
-5.035 8.722 0.000
0.000 0.000 22.888
Nd Cd Pt
46 8 14
direct
0.000 0.000 0.048
0.000 0.000 0.548
0.078 0.539 0.139
0.086 0.543 0.411
0.129 0.257 0.691
0.129 0.871 0.691
0.198 0.396 0.839
0.198 0.802 0.839
0.206 0.411 0.000
0.206 0.412 0.276
0.206 0.794 0.000
0.206 0.794 0.276
0.211 0.421 0.545
0.211 0.789 0.545
0.257 0.129 0.191
0.333 0.667 0.698
0.396 0.198 0.339
0.411 0.206 0.500
0.412 0.206 0.776
0.421 0.211 0.045
0.457 0.543 0.411
0.457 0.914 0.411
0.461 0.539 0.139
0.461 0.922 0.139
0.539 0.078 0.639
0.539 0.461 0.639
0.543 0.086 0.911
0.543 0.457 0.911
0.579 0.789 0.545
0.588 0.794 0.276
0.589 0.794 0.000
0.604 0.802 0.839
0.667 0.333 0.198
0.743 0.871 0.691
0.789 0.211 0.045
0.789 0.579 0.045
0.794 0.206 0.500
0.794 0.206 0.776
0.794 0.588 0.776
0.794 0.589 0.500
0.802 0.198 0.339
0.802 0.604 0.339
0.871 0.129 0.191
0.871 0.743 0.191
0.914 0.457 0.911
0.922 0.461 0.639
0.000 0.000 0.303
0.000 0.000 0.803
0.108 0.215 0.418
0.108 0.892 0.418
0.215 0.108 0.918
0.785 0.892 0.418
0.892 0.108 0.918
0.892 0.785 0.918
0.046 0.523 0.766
0.142 0.284 0.118
0.142 0.858 0.118
0.284 0.142 0.618
0.333 0.667 0.915
0.477 0.523 0.766
0.477 0.954 0.766
0.523 0.046 0.266
0.523 0.477 0.266
0.667 0.333 0.415
0.716 0.858 0.118
0.858 0.142 0.618
0.858 0.716 0.618
0.954 0.477 0.266
```

Summary:
Density of states at the Fermi level, states/eV/f.u.: 31.79
M_tot, μB per formula unit: 0.0
ΔH_f (0 K), eV per formula unit: -20.59